No. 1
Hf2SiGePd2 | PBE | relaxed

Cell lengths 10.5650, 4.3127, 10.5663 Å; angles 90.00, 109.47, 90.00 degrees
Closest atoms and distances in Å follow each position.
Sites, in units of the cell vectors:
Hf (0.0000, 0.0000, 0.0000)  4 Pd 2.64-2.66
Hf (0.1217, 0.5000, 0.3744)  4 Pd 2.62-2.65
Hf (0.2465, 0.0000, 0.7481)  4 Pd 2.65-2.66
Hf (0.3752, 0.5000, 0.1273)  4 Pd 2.62-2.66
Hf (0.4984, 0.0000, 0.5007)  4 Pd 2.61-2.67
Hf (0.6237, 0.5000, 0.8732)  4 Pd 2.64-2.65
Hf (0.7483, 0.0000, 0.2504)  4 Pd 2.64-2.69
Hf (0.8726, 0.5000, 0.6241)  4 Pd 2.61-2.62
Si (0.2488, 0.0000, 0.2502)  4 Pd 2.61-2.63
Si (0.6234, 0.5000, 0.3753)  4 Pd 2.62
Si (0.7484, 0.0000, 0.7494)  4 Pd 2.61-2.63
Si (0.9975, 0.0000, 0.4993)  4 Pd 2.62-2.63
Ge (0.1232, 0.5000, 0.8750)  4 Pd 2.64-2.66
Ge (0.3729, 0.5000, 0.6241)  4 Pd 2.65-2.67
Ge (0.4987, 0.0000, 0.0004)  4 Pd 2.65-2.68
Ge (0.8736, 0.5000, 0.1248)  4 Pd 2.65-2.67
Pd (0.1273, 0.5000, 0.1282)  2 Si 2.62, 4 Hf 2.62-2.66, 2 Ge 2.66-2.67
Pd (0.2445, 0.0000, 0.4961)  2 Si 2.61-2.62, 4 Hf 2.62-2.67, 2 Ge 2.66
Pd (0.3729, 0.5000, 0.8746)  4 Ge 2.64-2.65, 4 Hf 2.65-2.66
Pd (0.4993, 0.0000, 0.2544)  4 Hf 2.61-2.65, 3 Si 2.62-2.63, 1 Ge 2.68
Pd (0.6260, 0.5000, 0.6242)  4 Hf 2.61-2.64, 3 Si 2.62-2.63, 1 Ge 2.67
Pd (0.7491, 0.0000, 0.9963)  1 Si 2.61, 4 Hf 2.64-2.69, 3 Ge 2.65-2.66
Pd (0.8722, 0.5000, 0.3773)  4 Hf 2.61-2.65, 3 Si 2.62-2.63, 1 Ge 2.67
Pd (0.9949, 0.0000, 0.7466)  2 Si 2.61-2.62, 4 Hf 2.62-2.66, 2 Ge 2.66

Computed properties:
Its total energy is -7.455 eV/atom. As for the calculated density: 9.8 Mg/m³.



No. 2
HfZrGe2Pd2 | PBE | relaxed

Cell lengths 8.6973, 4.3479, 13.0468 Å; angles 90.00, 109.46, 90.00 degrees
Closest atoms and distances in Å follow each position.
Sites, in units of the cell vectors:
Hf (0.0000, 0.0000, 0.0000)  4 Pd 2.65-2.66
Hf (0.1247, 0.5000, 0.7500)  4 Pd 2.65-2.66
Hf (0.3743, 0.5000, 0.2494)  4 Pd 2.65-2.66
Hf (0.8747, 0.5000, 0.2494)  4 Pd 2.65-2.66
Zr (0.2494, 0.0000, 0.4994)  4 Pd 2.67
Zr (0.4994, 0.0000, 0.9997)  4 Pd 2.67-2.68
Zr (0.6247, 0.5000, 0.7497)  4 Pd 2.67
Zr (0.7495, 0.0000, 0.4994)  4 Pd 2.67-2.68
Ge (0.1242, 0.0000, 0.2488)  4 Pd 2.65-2.66
Ge (0.2489, 0.5000, 0.9997)  4 Pd 2.66-2.68
Ge (0.3741, 0.0000, 0.7501)  4 Pd 2.66-2.69
Ge (0.4994, 0.5000, 0.4992)  4 Pd 2.67-2.69
Ge (0.6246, 0.0000, 0.2496)  4 Pd 2.65
Ge (0.7507, 0.5000, 0.0004)  4 Pd 2.65-2.67
Ge (0.8755, 0.0000, 0.7500)  4 Pd 2.64-2.66
Ge (0.9993, 0.5000, 0.4992)  4 Pd 2.66-2.67
Pd (0.0622, 0.5000, 0.1246)  4 Ge 2.65-2.66, 4 Hf 2.66
Pd (0.1851, 0.0000, 0.8741)  4 Ge 2.64-2.67, 3 Hf 2.66, 1 Zr 2.68
Pd (0.3106, 0.5000, 0.6254)  1 Hf 2.65, 4 Ge 2.66-2.69, 3 Zr 2.67
Pd (0.4360, 0.0000, 0.3727)  4 Ge 2.65-2.67, 2 Hf 2.65, 2 Zr 2.67-2.68
Pd (0.5628, 0.5000, 0.1262)  2 Hf 2.65, 4 Ge 2.65-2.68, 2 Zr 2.67
Pd (0.6895, 0.0000, 0.8757)  1 Hf 2.65, 4 Ge 2.66-2.69, 3 Zr 2.67
Pd (0.8144, 0.5000, 0.6255)  1 Hf 2.65, 4 Ge 2.66-2.69, 3 Zr 2.67
Pd (0.9363, 0.0000, 0.3728)  4 Ge 2.65-2.67, 2 Hf 2.65, 2 Zr 2.67-2.68

Computed properties:
Its total energy is -7.102 eV/atom. As for the calculated density: 9.0 Mg/m³.



What did the second record say?
HfZrGe2Pd2 | PBE | relaxed

Cell lengths 8.6973, 4.3479, 13.0468 Å; angles 90.00, 109.46, 90.00 degrees
Closest atoms and distances in Å follow each position.
Sites, in units of the cell vectors:
Hf (0.0000, 0.0000, 0.0000)  4 Pd 2.65-2.66
Hf (0.1247, 0.5000, 0.7500)  4 Pd 2.65-2.66
Hf (0.3743, 0.5000, 0.2494)  4 Pd 2.65-2.66
Hf (0.8747, 0.5000, 0.2494)  4 Pd 2.65-2.66
Zr (0.2494, 0.0000, 0.4994)  4 Pd 2.67
Zr (0.4994, 0.0000, 0.9997)  4 Pd 2.67-2.68
Zr (0.6247, 0.5000, 0.7497)  4 Pd 2.67
Zr (0.7495, 0.0000, 0.4994)  4 Pd 2.67-2.68
Ge (0.1242, 0.0000, 0.2488)  4 Pd 2.65-2.66
Ge (0.2489, 0.5000, 0.9997)  4 Pd 2.66-2.68
Ge (0.3741, 0.0000, 0.7501)  4 Pd 2.66-2.69
Ge (0.4994, 0.5000, 0.4992)  4 Pd 2.67-2.69
Ge (0.6246, 0.0000, 0.2496)  4 Pd 2.65
Ge (0.7507, 0.5000, 0.0004)  4 Pd 2.65-2.67
Ge (0.8755, 0.0000, 0.7500)  4 Pd 2.64-2.66
Ge (0.9993, 0.5000, 0.4992)  4 Pd 2.66-2.67
Pd (0.0622, 0.5000, 0.1246)  4 Ge 2.65-2.66, 4 Hf 2.66
Pd (0.1851, 0.0000, 0.8741)  4 Ge 2.64-2.67, 3 Hf 2.66, 1 Zr 2.68
Pd (0.3106, 0.5000, 0.6254)  1 Hf 2.65, 4 Ge 2.66-2.69, 3 Zr 2.67
Pd (0.4360, 0.0000, 0.3727)  4 Ge 2.65-2.67, 2 Hf 2.65, 2 Zr 2.67-2.68
Pd (0.5628, 0.5000, 0.1262)  2 Hf 2.65, 4 Ge 2.65-2.68, 2 Zr 2.67
Pd (0.6895, 0.0000, 0.8757)  1 Hf 2.65, 4 Ge 2.66-2.69, 3 Zr 2.67
Pd (0.8144, 0.5000, 0.6255)  1 Hf 2.65, 4 Ge 2.66-2.69, 3 Zr 2.67
Pd (0.9363, 0.0000, 0.3728)  4 Ge 2.65-2.67, 2 Hf 2.65, 2 Zr 2.67-2.68

Computed properties:
Its total energy is -7.102 eV/atom. As for the calculated density: 9.0 Mg/m³.



Question: What is the formula in the second record?
Answer: HfZrGe2Pd2



Question: What is the calculated density in the second record?
Answer: 9.0 Mg/m³